This record from Alexandria via LeMat-Bulk describes a relaxed structure of KAc2Zn. The functional is GGA-PBE.

**Density of states at the Fermi level**: 1.012 states/eV/atom
**Formation enthalpy at 0 K**: 25 meV/atom

Lattice parameters (Å, degrees): 3.9689 3.9689 10.8918 90.00 90.00 90.00
Last column: nearest neighbours and their distance in Å.
Space group P4/mmm (No. 123)
Symmetry-distinct sites (fractional):
K: 0.0000 0.0000 0.0000 x1  4 K 3.97
Ac: 0.5000 0.5000 0.3339 x2  4 Zn 3.34, 1 Ac 3.62
Zn: 0.0000 0.0000 0.5000 x1  8 Ac 3.34

---

This record from Alexandria via LeMat-Bulk describes a relaxed structure of KAcZn4. The functional is GGA-PBE.

**Density of states at the Fermi level**: 0.895 states/eV/atom
**Formation enthalpy at 0 K**: 0 meV/atom

Lattice parameters (Å, degrees): 8.2900 8.2900 8.2900 90.00 90.00 90.00
Last column: nearest neighbours and their distance in Å.
Space group F-43m (No. 216)
Symmetry-distinct sites (fractional):
K: 0.0000 0.0000 0.0000 x4  12 Zn 3.44, 4 Ac 3.59
Ac: 0.2500 0.2500 0.2500 x4  12 Zn 3.44, 4 K 3.59
Zn: 0.1250 0.1250 0.6250 x16  6 Zn 2.93

---

This record from Alexandria via LeMat-Bulk describes a relaxed structure of Ac3La11. The functional is GGA-PBE.

**Density of states at the Fermi level**: 1.532 states/eV/atom
**Formation enthalpy at 0 K**: 85 meV/atom

Lattice parameters (Å, degrees): 5.9590 11.4534 15.9483 90.00 90.00 90.00
Last column: nearest neighbours and their distance in Å.
Space group Immm (No. 71)
Symmetry-distinct sites (fractional):
Ac: 0.0000 0.0000 0.0000 x2  2 Ac 3.57, 8 La 3.90
Ac: 0.0000 0.3117 0.0000 x4  1 Ac 3.57, 8 La 3.68-3.81
La: 0.0000 0.0000 0.5000 x2  4 Ac 3.68
La: 0.0000 0.1592 0.2277 x8  8 La 3.35-3.74
La: 0.0000 0.3357 0.3956 x8  4 La 3.33-3.57
La: 0.0000 0.5000 0.1887 x4  2 Ac 3.70, 8 La 3.74-3.95

---

This record from Alexandria via LeMat-Bulk describes a relaxed structure of Ac13La3. The functional is GGA-PBE.

**Density of states at the Fermi level**: 2.095 states/eV/atom
**Formation enthalpy at 0 K**: 20 meV/atom

Lattice parameters (Å, degrees): 11.2242 11.1529 11.1755 90.00 90.00 90.00
Last column: nearest neighbours and their distance in Å.
Space group Amm2 (No. 38)
Symmetry-distinct sites (fractional):
Ac: 0.0000 0.0000 0.0000 x2  10 Ac 3.90-4.00, 2 La 3.93
Ac: 0.0000 0.0000 0.4937 x2  10 Ac 3.90-4.01, 2 La 3.97
Ac: 0.0000 0.2476 0.2469 x4  10 Ac 3.90-3.99, 2 La 3.95
Ac: 0.2524 0.0000 0.7479 x4  11 Ac 3.92-4.01, 1 La 3.95
Ac: 0.2522 0.2480 0.9967 x8  3 La 3.91-3.98, 9 Ac 3.92-3.99
Ac: 0.5000 0.0000 0.4939 x2  10 Ac 3.89-4.00, 2 La 3.94
Ac: 0.5000 0.2453 0.2459 x4  4 La 3.88-4.01, 8 Ac 3.89-4.00
La: 0.2519 0.0000 0.2447 x4  11 Ac 3.90-3.98, 1 La 3.90
La: 0.5000 0.0000 0.9997 x2  10 Ac 3.88-4.01, 2 La 3.90

---

This record from Alexandria via LeMat-Bulk describes a relaxed structure of AcLa2. The functional is GGA-PBE.

**Density of states at the Fermi level**: 1.492 states/eV/atom
**Formation enthalpy at 0 K**: 134 meV/atom

Lattice parameters (Å, degrees): 9.8112 9.8112 9.8112 90.00 90.00 90.00
Last column: nearest neighbours and their distance in Å.
Space group Fd-3m (No. 227, origin choice 2)
Symmetry-distinct sites (fractional):
Ac: 0.1250 0.1250 0.1250 x8  12 La 4.07, 4 Ac 4.25
La: 0.0000 0.0000 0.5000 x16  6 La 3.47

---

This record from Alexandria via LeMat-Bulk describes a relaxed structure of AcLa2. The functional is GGA-PBE.

**Density of states at the Fermi level**: 2.012 states/eV/atom
**Formation enthalpy at 0 K**: 20 meV/atom

Lattice parameters (Å, degrees): 3.8297 3.8297 16.1424 90.00 90.00 90.00
Last column: nearest neighbours and their distance in Å.
Space group I4/mmm (No. 139)
Symmetry-distinct sites (fractional):
Ac: 0.0000 0.0000 0.0000 x2  4 Ac 3.83, 8 La 3.87
La: 0.0000 0.0000 0.3287 x4  8 La 3.71-3.83, 4 Ac 3.87

---

This record from Alexandria via LeMat-Bulk describes a relaxed structure of Ac5La4. The functional is GGA-PBE.

**Density of states at the Fermi level**: 2.111 states/eV/atom
**Formation enthalpy at 0 K**: 21 meV/atom

Lattice parameters (Å, degrees): 12.8690 11.6748 5.4750 90.00 115.02 90.00
Last column: nearest neighbours and their distance in Å.
Space group C2/m (No. 12)
Symmetry-distinct sites (fractional):
Ac: 0.0000 0.0000 0.0000 x2  4 Ac 3.84-3.85, 8 La 3.88-3.89
Ac: 0.0000 0.3293 0.0000 x4  6 Ac 3.85-3.98, 6 La 3.85-3.88
Ac: 0.1706 0.5000 0.6706 x4  6 Ac 3.84-3.98, 6 La 3.85-3.88
La: 0.1671 0.1673 0.6670 x8  8 Ac 3.85-3.89, 4 La 3.86-3.91

---

This record from Alexandria via LeMat-Bulk describes a relaxed structure of AcLa11. The functional is GGA-PBE.

**Density of states at the Fermi level**: 1.599 states/eV/atom
**Formation enthalpy at 0 K**: 21 meV/atom

Lattice parameters (Å, degrees): 11.8387 11.8387 3.7060 90.00 90.00 120.00
Last column: nearest neighbours and their distance in Å.
Space group P6/mmm (No. 191)
Symmetry-distinct sites (fractional):
Ac: 0.0000 0.0000 0.0000 x1  2 Ac 3.71, 12 La 4.01
La: 0.0000 0.5000 0.0000 x3  4 La 3.42-3.71
La: 0.1734 0.3468 0.5000 x6  10 La 3.56-3.83
La: 0.3333 0.6667 0.0000 x2  11 La 3.42-3.77

---

This record from Alexandria via LeMat-Bulk describes a relaxed structure of Ac3La2. The functional is GGA-PBE.

**Density of states at the Fermi level**: 1.878 states/eV/atom
**Formation enthalpy at 0 K**: 26 meV/atom

Lattice parameters (Å, degrees): 3.9131 3.9131 47.4655 90.00 90.00 120.00
Last column: nearest neighbours and their distance in Å.
Space group R-3m (No. 166, hexagonal axes)
Symmetry-distinct sites (fractional):
Ac: 0.0000 0.0000 0.0000 x3  12 Ac 3.91-3.98
Ac: 0.0000 0.0000 0.4024 x6  3 La 3.87, 9 Ac 3.91-3.98
La: 0.0000 0.0000 0.1980 x6  9 La 3.74-3.91, 3 Ac 3.87

---

This record from Alexandria via LeMat-Bulk describes a relaxed structure of AcLa5. The functional is GGA-PBE.

**Density of states at the Fermi level**: 1.916 states/eV/atom
**Formation enthalpy at 0 K**: 10 meV/atom

Lattice parameters (Å, degrees): 5.3269 15.9957 5.3322 90.00 90.00 90.00
Last column: nearest neighbours and their distance in Å.
Space group Cmmm (No. 65)
Symmetry-distinct sites (fractional):
Ac: 0.0000 0.0000 0.0000 x2  12 La 3.77-3.80
La: 0.0000 0.1690 0.5000 x4  10 La 3.72-3.79, 2 Ac 3.80
La: 0.0000 0.3307 0.0000 x4  10 La 3.71-3.80, 2 Ac 3.80
La: 0.0000 0.5000 0.5000 x2  4 Ac 3.77, 8 La 3.79-3.80

---

This record from Alexandria via LeMat-Bulk describes a relaxed structure of Ac5La3. The functional is GGA-PBE.

**Density of states at the Fermi level**: 2.065 states/eV/atom
**Formation enthalpy at 0 K**: 20 meV/atom

Lattice parameters (Å, degrees): 10.9569 11.0387 5.5401 90.00 90.00 90.00
Last column: nearest neighbours and their distance in Å.
Space group Cmmm (No. 65)
Symmetry-distinct sites (fractional):
Ac: 0.0000 0.0000 0.0000 x2  8 Ac 3.89-3.93, 4 La 3.93
Ac: 0.2458 0.5000 0.5000 x4  6 La 3.83-3.95, 6 Ac 3.91-3.93
Ac: 0.2500 0.2500 0.0000 x4  6 Ac 3.89-3.91, 6 La 3.89-3.90
La: 0.0000 0.2531 0.5000 x4  10 Ac 3.83-3.95, 2 La 3.89
La: 0.0000 0.5000 0.0000 x2  8 Ac 3.86-3.89, 4 La 3.89

---

This record from Alexandria via LeMat-Bulk describes a relaxed structure of Ac3La8. The functional is GGA-PBE.

**Density of states at the Fermi level**: 2.247 states/eV/atom
**Formation enthalpy at 0 K**: 20 meV/atom

Lattice parameters (Å, degrees): 12.0381 5.3573 13.7403 90.00 105.23 90.00
Last column: nearest neighbours and their distance in Å.
Space group C2/m (No. 12)
Symmetry-distinct sites (fractional):
Ac: 0.0000 0.0000 0.0000 x2  12 La 3.79-3.81
Ac: 0.0909 0.0000 0.6387 x4  11 La 3.79-3.84, 1 Ac 3.86
La: 0.0443 0.5000 0.8187 x4  8 La 3.79-3.82, 4 Ac 3.79
La: 0.1383 0.5000 0.4538 x4  7 La 3.77-3.86, 5 Ac 3.80-3.84
La: 0.1815 0.0000 0.2720 x4  8 La 3.79-3.82, 4 Ac 3.79-3.80
La: 0.2271 0.5000 0.0905 x4  4 Ac 3.79-3.81, 8 La 3.79-3.81

---

This record from Alexandria via LeMat-Bulk describes a relaxed structure of AcLa7. The functional is GGA-PBE.

**Density of states at the Fermi level**: 2.134 states/eV/atom
**Formation enthalpy at 0 K**: 15 meV/atom

Lattice parameters (Å, degrees): 10.6666 10.6666 10.6666 90.00 90.00 90.00
Last column: nearest neighbours and their distance in Å.
Space group Fm-3m (No. 225)
Symmetry-distinct sites (fractional):
Ac: 0.0000 0.0000 0.0000 x4  12 La 3.77
La: 0.0000 0.0000 0.5000 x4  12 La 3.77
La: 0.0000 0.2500 0.2500 x24  2 Ac 3.77, 10 La 3.77

---

This record from Alexandria via LeMat-Bulk describes a relaxed structure of Ac3La13. The functional is GGA-PBE.

**Density of states at the Fermi level**: 1.990 states/eV/atom
**Formation enthalpy at 0 K**: 34 meV/atom

Lattice parameters (Å, degrees): 7.6623 12.2974 13.1850 90.00 90.00 90.00
Last column: nearest neighbours and their distance in Å.
Space group Amm2 (No. 38)
Symmetry-distinct sites (fractional):
Ac: 0.0000 0.0000 0.0000 x2  10 La 3.77-3.84, 2 Ac 3.87
Ac: 0.2524 0.0000 0.2547 x4  9 La 3.79-3.88, 3 Ac 3.79-3.87
La: 0.0000 0.0000 0.5086 x2  10 La 3.72-3.87, 2 Ac 3.87
La: 0.0000 0.2483 0.8322 x4  3 Ac 3.77-3.79, 9 La 3.78-3.87
La: 0.2541 0.0000 0.7487 x4  11 La 3.72-3.89, 1 Ac 3.84
La: 0.2553 0.2473 0.5830 x8  10 La 3.72-3.91, 2 Ac 3.83-3.84
La: 0.5000 0.0000 0.5036 x2  10 La 3.72-3.83, 2 Ac 3.79
La: 0.5000 0.0000 0.9981 x2  8 La 3.70-3.80, 4 Ac 3.83-3.88
La: 0.5000 0.2463 0.8375 x4  10 La 3.70-3.84, 2 Ac 3.81

---

This record from Alexandria via LeMat-Bulk describes a relaxed structure of Ac3La8. The functional is GGA-PBE.

**Density of states at the Fermi level**: 1.469 states/eV/atom
**Formation enthalpy at 0 K**: 449 meV/atom

Lattice parameters (Å, degrees): 10.1954 10.1954 14.6832 90.00 90.00 120.00
Last column: nearest neighbours and their distance in Å.
Space group R-3 (No. 148, hexagonal axes)
Symmetry-distinct sites (fractional):
Ac: 0.0000 0.5000 0.0000 x9  4 La 3.11-3.47
La: 0.0000 0.0000 0.4012 x6  1 La 2.90, 3 Ac 3.11
La: 0.0258 0.2149 0.1150 x18  2 Ac 3.47-3.48, 3 La 3.59-3.85

---

This record from Alexandria via LeMat-Bulk describes a relaxed structure of Ac8La3. The functional is GGA-PBE.

**Density of states at the Fermi level**: 1.496 states/eV/atom
**Formation enthalpy at 0 K**: 347 meV/atom

Lattice parameters (Å, degrees): 13.3994 13.3994 9.6310 90.00 90.00 120.00
Last column: nearest neighbours and their distance in Å.
Space group R-3 (No. 148, hexagonal axes)
Symmetry-distinct sites (fractional):
Ac: 0.0000 0.0000 0.2482 x6  3 La 3.95, 6 Ac 4.20-4.36
Ac: 0.0385 0.4560 0.1521 x18  2 La 3.46-3.48, 3 Ac 3.50-3.54
La: 0.0000 0.5000 0.5000 x9  4 Ac 3.46-3.48

---

This record from Alexandria via LeMat-Bulk describes a relaxed structure of Ac7La5. The functional is GGA-PBE.

**Density of states at the Fermi level**: 2.093 states/eV/atom
**Formation enthalpy at 0 K**: 22 meV/atom

Lattice parameters (Å, degrees): 16.5375 5.5001 12.3011 90.00 116.67 90.00
Last column: nearest neighbours and their distance in Å.
Space group Cm (No. 8)
Symmetry-distinct sites (fractional):
Ac: 0.0000 0.0000 0.0000 x2  8 La 3.78-3.97, 4 Ac 3.86-3.94
Ac: 0.0020 0.5000 0.4936 x2  8 Ac 3.87-3.99, 4 La 3.88-3.94
Ac: 0.0909 0.0000 0.7540 x2  5 La 3.81-3.85, 7 Ac 3.94-4.01
Ac: 0.1661 0.0000 0.4922 x2  7 Ac 3.87-3.94, 5 La 3.89-3.97
Ac: 0.2507 0.0000 0.2401 x2  7 La 3.80-3.93, 5 Ac 3.86-3.93
Ac: 0.3337 0.5000 0.4944 x2  9 Ac 3.90-4.01, 3 La 3.94-3.97
Ac: 0.4175 0.0000 0.7507 x2  4 La 3.87-3.94, 8 Ac 3.88-3.99
La: 0.0812 0.5000 0.2405 x2  4 La 3.80-3.89, 8 Ac 3.82-3.94
La: 0.1724 0.5000 0.9987 x2  5 La 3.79-3.89, 7 Ac 3.82-3.97
La: 0.2528 0.5000 0.7532 x2  3 La 3.81-3.86, 9 Ac 3.84-3.97
La: 0.3356 0.0000 0.9999 x2  5 Ac 3.80-3.87, 7 La 3.80-3.86
La: 0.4168 0.5000 0.2406 x2  7 Ac 3.78-3.94, 5 La 3.79-3.87

---

This record from Alexandria via LeMat-Bulk describes a relaxed structure of Ac2La3. The functional is GGA-PBE.

**Density of states at the Fermi level**: 1.572 states/eV/atom
**Formation enthalpy at 0 K**: 327 meV/atom

Lattice parameters (Å, degrees): 6.4698 6.4698 36.2808 90.00 90.00 120.00
Last column: nearest neighbours and their distance in Å.
Space group R-3c (No. 167, hexagonal axes)
Symmetry-distinct sites (fractional):
Ac: 0.0000 0.0000 0.1657 x12  6 La 3.68-3.75, 3 Ac 3.74
La: 0.0000 0.3356 0.2500 x18  4 Ac 3.68-3.75, 6 La 3.72-3.76

---

This record from Alexandria via LeMat-Bulk describes a relaxed structure of Ac7La. The functional is GGA-PBE.

**Density of states at the Fermi level**: 1.977 states/eV/atom
**Formation enthalpy at 0 K**: 20 meV/atom

Lattice parameters (Å, degrees): 11.2380 11.2380 11.2380 90.00 90.00 90.00
Last column: nearest neighbours and their distance in Å.
Space group Fm-3m (No. 225)
Symmetry-distinct sites (fractional):
Ac: 0.0000 0.0000 0.0000 x4  12 Ac 3.97
Ac: 0.0000 0.2500 0.2500 x24  10 Ac 3.97, 2 La 3.97
La: 0.0000 0.0000 0.5000 x4  12 Ac 3.97

---

This record from Alexandria via LeMat-Bulk describes a relaxed structure of Ac4La5. The functional is GGA-PBE.

**Density of states at the Fermi level**: 2.085 states/eV/atom
**Formation enthalpy at 0 K**: 19 meV/atom

Lattice parameters (Å, degrees): 11.5315 11.5315 5.4693 90.00 90.00 90.00
Last column: nearest neighbours and their distance in Å.
Space group I4/mmm (No. 139)
Symmetry-distinct sites (fractional):
Ac: 0.0000 0.3276 0.0000 x8  7 La 3.78-3.88, 5 Ac 3.92-3.98
La: 0.0000 0.0000 0.0000 x2  4 Ac 3.78, 8 La 3.83
La: 0.1640 0.1640 0.5000 x8  6 La 3.78-3.92, 6 Ac 3.82-3.88